The following is a PBE+U calculation of crystalline Mg30MnZnO32 at its relaxed geometry, from Alexandria.

```
Mg30MnZnO32
1.0
-2.773 -2.757 7.590
6.060 -6.014 0.030
5.333 5.392 3.907
Mg Mn Zn O
30 1 1 32
Cartesian
3.030 -3.007 0.015
5.696 -0.311 1.968
-1.387 -1.378 3.795
1.280 1.318 5.748
1.643 -4.386 3.810
4.310 -1.690 5.763
2.861 -0.157 0.988
5.516 2.528 2.934
5.877 -3.150 1.003
8.532 -0.465 2.949
1.462 -1.534 4.779
4.127 1.161 6.732
4.492 -4.540 4.794
7.157 -1.846 6.747
0.642 0.661 2.887
3.297 3.346 4.832
3.670 -2.348 2.890
6.335 0.347 4.843
-0.738 -0.711 6.664
1.917 1.974 8.610
2.284 -3.726 6.684
4.949 -1.031 8.637
0.825 -2.201 1.912
3.488 0.503 3.858
3.844 -5.197 1.926
6.518 -2.504 3.873
-0.557 -3.574 5.693
2.101 -0.875 7.653
2.462 -6.571 5.708
5.131 -3.882 7.668
0.000 0.000 0.000
2.666 2.696 1.954
-0.711 -0.707 1.947
1.960 1.994 3.886
2.334 -3.699 1.919
5.001 -1.002 3.870
-2.062 -2.050 5.643
0.599 0.641 7.610
0.952 -5.072 5.700
3.618 -2.377 7.657
2.153 -0.841 2.878
4.820 1.855 4.832
5.188 -3.853 2.893
7.855 -1.157 4.847
0.764 -2.222 6.680
3.431 0.474 8.633
3.799 -5.234 6.694
6.466 -2.538 8.648
1.353 1.369 0.992
3.979 4.024 2.916
4.366 -1.656 0.994
7.027 1.034 2.943
-0.051 -0.028 4.774
2.610 2.663 6.723
2.977 -3.037 4.787
5.642 -0.342 6.740
1.554 -1.543 0.008
4.209 1.164 1.961
4.505 -4.472 0.022
7.183 -1.787 1.976
0.134 -2.888 3.802
2.798 -0.189 5.756
3.153 -5.884 3.817
5.821 -3.190 5.771
```

Properties
**Total energy**: -383.4 eV per cell
**Density of states at the Fermi level**: 0.0000 states/eV per atom
**Density**: 3.6 g/cm3
**Crystal system**: tetragonal
**M_tot**: 5.00 Bohr magnetons per cell